(1)
Entry from the Alexandria database: a relaxed structure of AlBr2 (PBE-GGA).

```
data_AlBr2
_chemical_formula_sum 'Al2 Br4'
_space_group_name_H-M_alt 'I 4/m m m'
_space_group_IT_number 139
_space_group_name_Hall '-I 4 2'
_cell_length_a 3.4611
_cell_length_b 3.4611
_cell_length_c 14.3584
_cell_angle_alpha 90.00
_cell_angle_beta 90.00
_cell_angle_gamma 90.00
loop_
_atom_site_label
_atom_site_type_symbol
_atom_site_fract_x
_atom_site_fract_y
_atom_site_fract_z
_atom_site_occupancy
Al1 Al 0.0000 0.0000 0.0000 1
Br1 Br 0.0000 0.0000 0.3854 1
```

Output
- ρ (g cm⁻³) = 3.6
- calculated total energy (eV per atom) = -2.6701
- formation energy without anion corrections (meV/atom) = -307



(2)
Entry from the Alexandria database: a relaxed structure of AlBr2 (PBE-GGA).

```
data_AlBr2
_chemical_formula_sum 'Al1 Br2'
_space_group_name_H-M_alt 'P -3 m 1'
_space_group_IT_number 164
_space_group_name_Hall '-P 3 2"'
_cell_length_a 3.9621
_cell_length_b 3.9621
_cell_length_c 7.0196
_cell_angle_alpha 90.00
_cell_angle_beta 90.00
_cell_angle_gamma 120.00
loop_
_atom_site_label
_atom_site_type_symbol
_atom_site_fract_x
_atom_site_fract_y
_atom_site_fract_z
_atom_site_occupancy
Al1 Al 0.0000 0.0000 0.0000 1
Br1 Br 0.3333 0.6667 0.2158 1
```

Output
- ρ (g cm⁻³) = 3.3
- calculated total energy (eV per atom) = -2.9058
- formation energy without anion corrections (meV/atom) = -543



(3)
Entry from the Alexandria database: a relaxed structure of AlBr5 (PBE-GGA).

```
data_AlBr5
_chemical_formula_sum 'Al1 Br5'
_space_group_name_H-M_alt 'P 4/m m m'
_space_group_IT_number 123
_space_group_name_Hall '-P 4 2'
_cell_length_a 3.1964
_cell_length_b 3.1964
_cell_length_c 18.2670
_cell_angle_alpha 90.00
_cell_angle_beta 90.00
_cell_angle_gamma 90.00
loop_
_atom_site_label
_atom_site_type_symbol
_atom_site_fract_x
_atom_site_fract_y
_atom_site_fract_z
_atom_site_occupancy
Al1 Al 0.0000 0.0000 0.0000 1
Br1 Br 0.0000 0.0000 0.2734 1
Br2 Br 0.5000 0.5000 0.0902 1
Br3 Br 0.5000 0.5000 0.5000 1
```

Output
- ρ (g cm⁻³) = 3.8
- calculated total energy (eV per atom) = -1.9294
- formation energy without anion corrections (meV/atom) = 88



(4)
Entry from the Alexandria database: a relaxed structure of AlBr (PBE-GGA).

```
data_AlBr
_chemical_formula_sum 'Al1 Br1'
_space_group_name_H-M_alt 'P m -3 m'
_space_group_IT_number 221
_space_group_name_Hall '-P 4 2 3'
_cell_length_a 3.7971
_cell_length_b 3.7971
_cell_length_c 3.7971
_cell_angle_alpha 90.00
_cell_angle_beta 90.00
_cell_angle_gamma 90.00
loop_
_atom_site_label
_atom_site_type_symbol
_atom_site_fract_x
_atom_site_fract_y
_atom_site_fract_z
_atom_site_occupancy
Al1 Al 0.0000 0.0000 0.0000 1
Br1 Br 0.5000 0.5000 0.5000 1
```

Output
- ρ (g cm⁻³) = 3.2
- calculated total energy (eV per atom) = -2.7702
- formation energy without anion corrections (meV/atom) = -62



(5)
Entry from the Alexandria database: a relaxed structure of AlBr (PBE-GGA).

```
data_AlBr
_chemical_formula_sum 'Al6 Br6'
_space_group_name_H-M_alt 'R -3 m'
_space_group_IT_number 166
_space_group_name_Hall '-R 3 2"'
_cell_length_a 6.3181
_cell_length_b 6.3181
_cell_length_c 11.6821
_cell_angle_alpha 90.00
_cell_angle_beta 90.00
_cell_angle_gamma 120.00
loop_
_atom_site_label
_atom_site_type_symbol
_atom_site_fract_x
_atom_site_fract_y
_atom_site_fract_z
_atom_site_occupancy
Al1 Al 0.0000 0.0000 0.1408 1
Br1 Br 0.0000 0.0000 0.3478 1
```

Output
- ρ (g cm⁻³) = 2.6
- calculated total energy (eV per atom) = -2.6855
- formation energy without anion corrections (meV/atom) = 22



(6)
Entry from the Alexandria database: a relaxed structure of AlBr (PBE-GGA).

```
data_AlBr
_chemical_formula_sum 'Al4 Br4'
_space_group_name_H-M_alt 'P n m a'
_space_group_IT_number 62
_space_group_name_Hall '-P 2ac 2n'
_cell_length_a 10.5293
_cell_length_b 3.6845
_cell_length_c 6.3528
_cell_angle_alpha 90.00
_cell_angle_beta 90.00
_cell_angle_gamma 90.00
loop_
_atom_site_label
_atom_site_type_symbol
_atom_site_fract_x
_atom_site_fract_y
_atom_site_fract_z
_atom_site_occupancy
Al1 Al 0.1706 0.2500 0.0787 1
Br1 Br 0.0065 0.7500 0.2468 1
```

Output
- ρ (g cm⁻³) = 2.9
- calculated total energy (eV per atom) = -2.8525
- formation energy without anion corrections (meV/atom) = -145